VASP calculation (GGA-PBE) on an optimized crystal structure of Ba2LiHg3Au4.

It has space group P-4m2 (No. 115), with a = 4.547 Å, b = 4.547 Å, c = 12.863 Å, α = 90.00°, β = 90.00° and γ = 90.00°. Symmetry generates all atoms from Ba at (0.000, 0.500, 0.246), Li at (0.000, 0.000, 0.500), Hg at (0.000, 0.500, 0.864), Hg at (0.500, 0.500, 0.500), Au at (0.000, 0.000, 0.000), Au at (0.000, 0.500, 0.638) and Au at (0.500, 0.500, 0.000).

The value obtained for the formation energy from the elements is -451 meV per atom.